No. 1
LiMn2TcN | Alexandria | PBE-GGA | optimized geometry; crystal system = tetragonal; total energy = -5.4900 eV/atom
1.0
3.744 0.000 0.000
0.000 3.744 0.000
0.000 0.000 4.163
Li Mn Tc N
1 2 1 1
Direct
0.000 0.000 0.000
0.000 0.500 0.000
0.500 0.000 0.000
0.000 0.000 0.500
0.500 0.500 0.500

---

No. 2
YRe3 | Alexandria | PBE-GGA | optimized geometry; ΔE_f = 8.3 kcal/mol of atoms; crystal system = tetragonal; total energy = -10.5911 eV/atom
1.0
-2.287 2.287 6.497
2.287 -2.287 6.497
2.287 2.287 -6.497
Y Re
2 6
Direct
0.124 0.124 0.000
0.876 0.876 0.000
0.000 0.500 0.500
0.250 0.750 0.500
0.371 0.371 0.000
0.500 0.000 0.500
0.629 0.629 0.000
0.750 0.250 0.500

---

No. 3
AcZnHPd6 | Alexandria | PBE-GGA | optimized geometry; crystal system = orthorhombic; total energy = -4.7166 eV/atom
1.0
-3.463 4.055 5.579
3.463 -4.055 5.579
3.463 4.055 -5.579
Ac Zn H Pd
2 2 2 12
Direct
0.420 0.170 0.250
0.580 0.830 0.750
0.000 0.000 0.500
0.000 0.500 0.000
0.000 0.500 0.500
0.500 0.500 0.000
0.125 0.419 0.295
0.125 0.830 0.706
0.161 0.911 0.250
0.257 0.507 0.750
0.376 0.170 0.795
0.376 0.581 0.206
0.624 0.419 0.794
0.624 0.830 0.205
0.743 0.493 0.250
0.839 0.089 0.750
0.875 0.170 0.294
0.875 0.581 0.705

---

No. 4
YMg2Cd2 | Alexandria | PBE-GGA | optimized geometry; ΔE_f = -3.0 kcal/mol of atoms; crystal system = tetragonal; total energy = -2.4258 eV/atom
1.0
8.627 0.000 0.000
0.000 8.627 0.000
0.000 0.000 3.113
Y Mg Cd
2 4 4
Direct
0.000 0.000 0.000
0.500 0.500 0.000
0.125 0.375 0.000
0.375 0.875 0.000
0.625 0.125 0.000
0.875 0.625 0.000
0.173 0.673 0.500
0.327 0.173 0.500
0.673 0.827 0.500
0.827 0.327 0.500

---

No. 5
BaScSCl2 | Alexandria | PBE-GGA | optimized geometry; crystal system = tetragonal; total energy = -4.0091 eV/atom
1.0
5.702 0.000 0.000
0.000 5.702 0.000
0.000 0.000 6.100
Ba Sc S Cl
1 1 1 2
Direct
0.000 0.000 0.000
0.500 0.500 0.500
0.000 0.000 0.500
0.000 0.500 0.000
0.500 0.000 0.000

---

No. 6
Be2VSbC | Alexandria | PBE-GGA | optimized geometry; crystal system = tetragonal; total energy = -3.5556 eV/atom
1.0
4.301 0.000 0.000
0.000 4.301 0.000
0.000 0.000 5.095
Be V Sb C
2 1 1 1
Direct
0.000 0.500 0.000
0.500 0.000 0.000
0.000 0.000 0.500
0.000 0.000 0.000
0.500 0.500 0.500

---

No. 7
TcPAu2 | Alexandria | PBE-GGA | optimized geometry; ΔE_f = 0.5 kcal/mol of atoms; crystal system = tetragonal; total energy = -5.5602 eV/atom
1.0
3.054 0.000 0.000
0.000 3.054 0.000
0.000 0.000 6.939
Tc P Au
1 1 2
Direct
0.000 0.000 0.000
0.500 0.500 0.852
0.000 0.000 0.571
0.500 0.500 0.286

---

No. 8
NbNi2Ir | Alexandria | PBE-GGA | optimized geometry; ΔE_f = 3.0 kcal/mol of atoms; crystal system = tetragonal; total energy = -7.4931 eV/atom
1.0
-1.840 1.840 8.825
1.840 -1.840 8.825
1.840 1.840 -8.825
Nb Ni Ir
2 4 2
Direct
0.000 0.000 0.000
0.750 0.250 0.500
0.144 0.625 0.019
0.375 0.394 0.519
0.606 0.125 0.981
0.875 0.856 0.481
0.250 0.750 0.500
0.500 0.500 0.000

---

Sequential M_tot output: 0.0, 0.0, 0.0, 0.0, 1.0, 0.0, 0.0, 0.0 μB/f.u.